[1]
This record from Alexandria via LeMat-Bulk describes an optimized crystal structure of Er2AgSb. The functional is PBE-GGA.

abc: 3.9437 5.0114 5.0114
angles: 90.00 90.00 90.00
Closest atoms and distances in Å follow each position.
Atoms (fractional coordinates):
1 Sb 0.5000 0.5000 0.5000  8 Er 3.19, 4 Ag 3.54
2 Er 0.0000 0.5000 0.0000  4 Sb 3.19, 4 Ag 3.19, 4 Er 3.54
3 Er 0.0000 0.0000 0.5000  4 Sb 3.19, 4 Ag 3.19, 4 Er 3.54
4 Ag 0.5000 0.0000 0.0000  8 Er 3.19, 4 Sb 3.54

Properties
E_tot: -0.3378 Ry per atom
volume: 24.8 Å³ per atom
formation energy without anion corrections: -0.571 eV/atom

---

[2]
This record from Alexandria via LeMat-Bulk describes an optimized crystal structure of Tl2GaAgPt. The functional is PBE-GGA.

abc: 5.3823 4.8563 5.3823
angles: 90.00 90.00 90.00
Closest atoms and distances in Å follow each position.
Atoms (fractional coordinates):
1 Ag 0.0000 0.0000 0.0000  2 Ga 2.43, 4 Tl 2.69
2 Ga 0.0000 0.5000 0.0000  2 Ag 2.43
3 Pt 0.5000 0.5000 0.5000  8 Tl 3.62, 4 Ga 3.81
4 Tl 0.5000 0.0000 0.0000  2 Ag 2.69
5 Tl 0.0000 0.0000 0.5000  2 Ag 2.69

Properties
E_tot: -0.1982 Ry per atom
ΔE_f: 0.634 eV per atom
volume: 28.1 Å³ per atom

---

[3]
This record from Alexandria via LeMat-Bulk describes an optimized crystal structure of PmPt4Au2. The functional is PBE-GGA.

abc: 5.4270 5.6159 5.6159
angles: 76.15 60.88 60.88
Closest atoms and distances in Å follow each position.
Atoms (fractional coordinates):
1 Au 0.7500 0.5002 0.5002  2 Au 2.71-2.72, 8 Pt 2.85-2.86
2 Au 0.2500 0.4998 0.4998  2 Au 2.71-2.72, 8 Pt 2.85-2.86
3 Pt 0.3043 0.9998 0.3911  4 Pt 2.71-2.92, 4 Au 2.85-2.86, 1 Pm 2.99
4 Pt 0.6957 0.0001 0.6089  4 Pt 2.71-2.92, 4 Au 2.85-2.86, 1 Pm 2.99
5 Pt 0.6957 0.6089 0.0001  4 Pt 2.71-2.92, 4 Au 2.85-2.86, 1 Pm 2.99
6 Pt 0.3043 0.3911 0.9998  4 Pt 2.71-2.92, 4 Au 2.85-2.86, 1 Pm 2.99
7 Pm 0.0000 0.0000 0.0000  12 Pt 2.99-3.33

Properties
E_tot: -0.4034 Ry per atom
ΔE_f: -0.421 eV per atom
volume: 18.7 Å³ per atom

---

[4]
This record from Alexandria via LeMat-Bulk describes an optimized crystal structure of UIn2Se4. The functional is PBE-GGA.

abc: 6.5649 6.5649 6.5649
angles: 107.43 107.43 113.64
Closest atoms and distances in Å follow each position.
Atoms (fractional coordinates):
1 Se 0.1847 0.6942 0.8789  2 In 2.75, 1 U 2.88
2 Se 0.6942 0.8153 0.5096  2 In 2.75, 1 U 2.88
3 Se 0.8153 0.3058 0.1211  2 In 2.75, 1 U 2.88
4 Se 0.3058 0.1847 0.4904  2 In 2.75, 1 U 2.88
5 In 0.7500 0.2500 0.5000  4 Se 2.75
6 In 0.2500 0.7500 0.5000  4 Se 2.75
7 U 0.5000 0.5000 0.0000  4 Se 2.88

Properties
E_tot: -0.3508 Ry per atom
volume: 31.0 Å³ per atom
formation energy without anion corrections: -0.387 eV/atom

---

[5]
This record from Alexandria via LeMat-Bulk describes an optimized crystal structure of NaGa2AsS6. The functional is PBE-GGA.

abc: 6.5535 9.8479 9.8479
angles: 88.42 64.48 64.48
Closest atoms and distances in Å follow each position.
Atoms (fractional coordinates):
1 Ga 0.4414 0.8167 0.6694  4 S 2.26-2.38
2 Ga 0.0586 0.3306 0.1833  4 S 2.26-2.38
3 Ga 0.9414 0.6694 0.8167  4 S 2.26-2.38
4 Ga 0.5586 0.1833 0.3306  4 S 2.26-2.38
5 Na 0.7500 0.3421 0.6579  4 S 2.78-2.82
6 Na 0.2500 0.6579 0.3421  4 S 2.78-2.82
7 S 0.9067 0.4378 0.8410  1 As 2.20, 1 Ga 2.38
8 S 0.0933 0.5622 0.1590  1 As 2.20, 1 Ga 2.38
9 S 0.5884 0.8029 0.0582  1 As 2.20, 1 Ga 2.36
10 S 0.9116 0.9418 0.1971  1 As 2.20, 1 Ga 2.36
11 S 0.0884 0.0582 0.8029  1 As 2.20, 1 Ga 2.36
12 S 0.3275 0.6371 0.7766  2 Ga 2.26-2.27
13 S 0.1725 0.2234 0.3629  2 Ga 2.26-2.27
14 S 0.5933 0.1590 0.5622  1 As 2.20, 1 Ga 2.38
15 S 0.6725 0.3629 0.2234  2 Ga 2.26-2.27
16 S 0.4116 0.1971 0.9418  1 As 2.20, 1 Ga 2.36
17 S 0.4067 0.8410 0.4378  1 As 2.20, 1 Ga 2.38
18 S 0.8275 0.7766 0.6371  2 Ga 2.26-2.27
19 As 0.7500 0.7828 0.2172  4 S 2.20
20 As 0.2500 0.2172 0.7828  4 S 2.20

Properties
E_tot: -0.3076 Ry per atom
volume: 25.4 Å³ per atom
formation energy without anion corrections: -0.506 eV/atom

---

[6]
This record from Alexandria via LeMat-Bulk describes an optimized crystal structure of K2AgOs. The functional is PBE-GGA.

abc: 5.9586 5.9586 5.9586
angles: 133.89 122.57 76.61
Closest atoms and distances in Å follow each position.
Atoms (fractional coordinates):
1 K 0.7279 0.2279 0.5000  4 Os 3.42-3.64, 4 K 3.43-3.64, 4 Ag 3.79
2 K 0.0265 0.0265 0.0000  4 K 3.43-3.64, 4 Ag 3.47-3.58, 5 Os 3.76-3.81
3 Ag 0.3169 0.8169 0.5000  2 Os 2.56
4 Os 0.4287 0.4287 0.0000  2 Ag 2.56

Properties
E_tot: -0.2149 Ry per atom
ΔE_f: 1.145 eV per atom
volume: 31.2 Å³ per atom
distance to the lowest polymorph of the same formula: 280.0 meV/atom

---

> Which value of E_tot does entry 6 give?

-0.2149 Ry per atom

---

> Which of these has the highest volume?

K2AgOs

---

> What is the formula in the second record?

Tl2GaAgPt